[1]
DFT (GGA-PBE) results for a relaxed La4GaAg2 crystal.

Values from the calculation:
* energy of formation: -0.2264 eV per atom
* space group: R-3m
* ρ: 6.57 g/cm3

a = 9.1090 Å, b = 9.1090 Å, c = 9.1090 Å
α = 34.17°, β = 34.17°, γ = 34.17°
Last column: nearest neighbours and their distance in Å.
Sites, in units of the cell vectors:
La 0.1211 0.1211 0.1211  4 Ag 3.21-3.22, 3 Ga 3.30
La 0.3739 0.3739 0.3739  1 Ga 3.24, 4 Ag 3.28-3.31
La 0.6261 0.6261 0.6261  1 Ga 3.24, 4 Ag 3.28-3.31
La 0.8789 0.8789 0.8789  4 Ag 3.21-3.22, 3 Ga 3.30
Ga 0.5000 0.5000 0.5000  8 La 3.24-3.30
Ag 0.2465 0.2465 0.2465  8 La 3.21-3.31
Ag 0.7535 0.7535 0.7535  8 La 3.21-3.31


[2]
DFT (GGA-PBE) results for a relaxed BaTbMnSe4 crystal.

Values from the calculation:
* space group: P2_1/m
* uncorrected formation energy: -1.380 eV per atom
* ρ: 5.76 g/cm3

a = 6.9086 Å, b = 6.5272 Å, c = 8.9627 Å
α = 90.00°, β = 107.80°, γ = 90.00°
Last column: nearest neighbours and their distance in Å.
Sites, in units of the cell vectors:
Ba 0.2479 0.2500 0.4404  8 Se 3.20-3.48
Ba 0.7521 0.7500 0.5596  8 Se 3.20-3.48
Tb 0.2545 0.2500 0.9426  6 Se 2.92-3.02
Tb 0.7455 0.7500 0.0574  6 Se 2.92-3.02
Mn 0.2646 0.7500 0.1749  4 Se 2.37-2.41
Mn 0.7354 0.2500 0.8251  4 Se 2.37-2.41
Se 0.0650 0.7500 0.9071  1 Mn 2.37
Se 0.0754 0.7500 0.3610  1 Mn 2.41
Se 0.4828 0.5111 0.7813  1 Mn 2.38
Se 0.4828 0.9889 0.7813  1 Mn 2.38
Se 0.5172 0.0111 0.2187  1 Mn 2.38
Se 0.5172 0.4889 0.2187  1 Mn 2.38
Se 0.9246 0.2500 0.6390  1 Mn 2.41
Se 0.9350 0.2500 0.0929  1 Mn 2.37


[3]
DFT (GGA-PBE) results for a relaxed PrY2HoN4 crystal.

Values from the calculation:
* space group: P2/m
* uncorrected formation energy: -1.572 eV per atom
* ρ: 7.21 g/cm3

a = 6.1099 Å, b = 3.5277 Å, c = 6.1115 Å
α = 90.00°, β = 109.42°, γ = 90.00°
Last column: nearest neighbours and their distance in Å.
Sites, in units of the cell vectors:
Pr 0.0000 0.0000 0.0000  6 N 2.53-2.54
Y 0.5000 0.0000 0.5000  6 N 2.45
Y 0.5000 0.5000 0.0000  6 N 2.50
Ho 0.0000 0.5000 0.5000  6 N 2.49
N 0.2525 0.0000 0.7444  3 Y 2.45-2.50, 2 Ho 2.49, 1 Pr 2.53
N 0.2577 0.5000 0.2593  3 Y 2.45-2.50, 1 Ho 2.49, 2 Pr 2.54
N 0.7423 0.5000 0.7407  3 Y 2.45-2.50, 1 Ho 2.49, 2 Pr 2.54
N 0.7475 0.0000 0.2556  3 Y 2.45-2.50, 2 Ho 2.49, 1 Pr 2.53


[4]
DFT (GGA-PBE) results for a relaxed AlIn crystal.

Values from the calculation:
* energy of formation: 0.1371 eV per atom
* space group: P6_3/mmc
* ρ: 5.10 g/cm3

a = 8.6331 Å, b = 8.6331 Å, c = 4.2878 Å
α = 90.00°, β = 90.00°, γ = 120.00°
Last column: nearest neighbours and their distance in Å.
Sites, in units of the cell vectors:
Al 0.1198 0.5599 0.2500  4 Al 2.77-2.79, 2 In 3.06
Al 0.4401 0.5599 0.2500  4 Al 2.77-2.79, 2 In 3.06
Al 0.4401 0.8802 0.2500  4 Al 2.77-2.79, 2 In 3.06
Al 0.5599 0.1198 0.7500  4 Al 2.77-2.79, 2 In 3.06
Al 0.5599 0.4401 0.7500  4 Al 2.77-2.79, 2 In 3.06
Al 0.8802 0.4401 0.7500  4 Al 2.77-2.79, 2 In 3.06
In 0.1615 0.3230 0.7500  6 Al 3.06-3.11, 4 In 3.23
In 0.1615 0.8385 0.7500  6 Al 3.06-3.11, 4 In 3.23
In 0.3230 0.1615 0.2500  6 Al 3.06-3.11, 4 In 3.23
In 0.6770 0.8385 0.7500  6 Al 3.06-3.11, 4 In 3.23
In 0.8385 0.1615 0.2500  6 Al 3.06-3.11, 4 In 3.23
In 0.8385 0.6770 0.2500  6 Al 3.06-3.11, 4 In 3.23